Record 1
The following is a PBE-GGA calculation of an optimized crystal structure of Ho5HgIr4, from the Alexandria database.

a = 3.452 Å, b = 3.452 Å, c = 17.615 Å
α = 90.00°, β = 90.00°, γ = 90.00°
Space group P4/mmm (No. 123)
One atom of each set of equivalent atoms:
1 Ho 0.000 0.000 0.000 [1 per cell]
2 Ho 0.000 0.000 0.191 [2 per cell]
3 Ho 0.000 0.000 0.380 [2 per cell]
4 Hg 0.500 0.500 0.500 [1 per cell]
5 Ir 0.500 0.500 0.096 [2 per cell]
6 Ir 0.500 0.500 0.290 [2 per cell]

Calculated values
formation enthalpy at 0 K	-76.2	kJ per mole of atoms
crystal system	tetragonal



Record 2
The following is a PBE-GGA calculation of an optimized crystal structure of Ho4HgIr2, from the Alexandria database.

a = 11.456 Å, b = 13.554 Å, c = 8.728 Å
α = 90.00°, β = 90.00°, γ = 90.00°
Space group Fdd2 (No. 43)
One atom of each set of equivalent atoms:
1 Ho 0.065 0.394 0.000 [16 per cell]
2 Ho 0.111 0.294 0.402 [16 per cell]
3 Hg 0.000 0.000 0.845 [8 per cell]
4 Ir 0.059 0.323 0.709 [16 per cell]

Calculated values
formation enthalpy at 0 K	-63.0	kJ per mole of atoms
crystal system	orthorhombic



Record 3
The following is a PBE-GGA calculation of an optimized crystal structure of Ho5HgIr2, from the Alexandria database.

a = 7.716 Å, b = 7.716 Å, c = 13.381 Å
α = 90.00°, β = 90.00°, γ = 90.00°
Space group I4/mcm (No. 140)
One atom of each set of equivalent atoms:
1 Ho 0.000 0.000 0.000 [4 per cell]
2 Ho 0.160 0.340 0.135 [16 per cell]
3 Hg 0.000 0.000 0.250 [4 per cell]
4 Ir 0.141 0.359 0.500 [8 per cell]

Calculated values
formation enthalpy at 0 K	-68.3	kJ per mole of atoms
crystal system	tetragonal



Record 4
The following is a PBE-GGA calculation of an optimized crystal structure of Ho2HgIr, from the Alexandria database.

a = 4.0840 Å, b = 4.0840 Å, c = 21.9034 Å
α = 90.00°, β = 90.00°, γ = 120.00°
Space group R3m (No. 160, hexagonal axes)
One atom of each set of equivalent atoms:
1 Ho 0.0000 0.0000 0.0000 [3 per cell]
2 Ho 0.0000 0.0000 0.2018 [3 per cell]
3 Hg 0.0000 0.0000 0.7665 [3 per cell]
4 Ir 0.0000 0.0000 0.6023 [3 per cell]

Calculated values
formation enthalpy at 0 K	-59.0	kJ per mole of atoms
crystal system	trigonal
energy relative to the lowest polymorph listed for this composition	9.68	kJ per mole of atoms



Record 5
The following is a PBE-GGA calculation of an optimized crystal structure of Ho12Hg6Ir, from the Alexandria database.

a = 11.9426 Å, b = 11.9426 Å, c = 13.2543 Å
α = 90.00°, β = 90.00°, γ = 120.00°
Space group R-3 (No. 148, hexagonal axes)
One atom of each set of equivalent atoms:
1 Ho 0.0288 0.8392 0.3749 [18 per cell]
2 Ho 0.0359 0.1888 0.8917 [18 per cell]
3 Hg 0.0073 0.3964 0.7592 [18 per cell]
4 Ir 0.0000 0.0000 0.5000 [3 per cell]

Calculated values
formation enthalpy at 0 K	-28.1	kJ per mole of atoms
crystal system	trigonal



Record 6
The following is a PBE-GGA calculation of an optimized crystal structure of Ho2HgIr2, from the Alexandria database.

a = 4.440 Å, b = 5.955 Å, c = 8.112 Å
α = 90.00°, β = 90.00°, γ = 90.00°
Space group Immm (No. 71)
One atom of each set of equivalent atoms:
1 Ho 0.000 0.000 0.209 [4 per cell]
2 Hg 0.000 0.500 0.000 [2 per cell]
3 Ir 0.000 0.290 0.500 [4 per cell]

Calculated values
formation enthalpy at 0 K	-66.0	kJ per mole of atoms
crystal system	orthorhombic



Record 7
The following is a PBE-GGA calculation of an optimized crystal structure of Ho12Hg5Ir2, from the Alexandria database.

a = 16.443 Å, b = 7.693 Å, c = 9.277 Å
α = 90.00°, β = 104.46°, γ = 90.00°
Space group C2/m (No. 12)
One atom of each set of equivalent atoms:
1 Ho 0.003 0.000 0.244 [4 per cell]
2 Ho 0.025 0.500 0.829 [4 per cell]
3 Ho 0.144 0.250 0.566 [8 per cell]
4 Ho 0.169 0.239 0.104 [8 per cell]
5 Hg 0.000 0.500 0.500 [2 per cell]
6 Hg 0.189 0.000 0.840 [4 per cell]
7 Hg 0.207 0.000 0.371 [4 per cell]
8 Ir 0.000 0.216 0.000 [4 per cell]

Calculated values
formation enthalpy at 0 K	-30.0	kJ per mole of atoms
crystal system	monoclinic



Record 8
The following is a PBE-GGA calculation of an optimized crystal structure of Ho3Hg2Ir, from the Alexandria database.

a = 15.238 Å, b = 5.460 Å, c = 3.833 Å
α = 90.00°, β = 97.07°, γ = 90.00°
Space group C2/m (No. 12)
One atom of each set of equivalent atoms:
1 Ho 0.000 0.000 0.000 [2 per cell]
2 Ho 0.131 0.500 0.557 [4 per cell]
3 Hg 0.198 0.000 0.866 [4 per cell]
4 Ir 0.000 0.500 0.000 [2 per cell]

Calculated values
formation enthalpy at 0 K	-52.2	kJ per mole of atoms
crystal system	monoclinic
energy relative to the lowest polymorph listed for this composition	8.66	kJ per mole of atoms



Record 9
The following is a PBE-GGA calculation of an optimized crystal structure of Ho8Hg2Ir, from the Alexandria database.

a = 17.698 Å, b = 5.181 Å, c = 6.819 Å
α = 90.00°, β = 107.08°, γ = 90.00°
Space group C2/m (No. 12)
One atom of each set of equivalent atoms:
1 Ho 0.023 0.000 0.286 [4 per cell]
2 Ho 0.088 0.500 0.930 [4 per cell]
3 Ho 0.154 0.500 0.463 [4 per cell]
4 Ho 0.201 0.000 0.810 [4 per cell]
5 Hg 0.185 0.000 0.225 [4 per cell]
6 Ir 0.000 0.500 0.500 [2 per cell]

Calculated values
formation enthalpy at 0 K	-34.9	kJ per mole of atoms
crystal system	monoclinic



Record 10
The following is a PBE-GGA calculation of an optimized crystal structure of Ho6Hg2Ir, from the Alexandria database.

a = 6.860 Å, b = 7.401 Å, c = 12.257 Å
α = 90.00°, β = 123.92°, γ = 90.00°
Space group P2_1/c (No. 14)
One atom of each set of equivalent atoms:
1 Ho 0.127 0.016 0.245 [4 per cell]
2 Ho 0.224 0.692 0.051 [4 per cell]
3 Ho 0.367 0.187 0.054 [4 per cell]
4 Hg 0.293 0.096 0.749 [4 per cell]
5 Ir 0.500 0.000 0.500 [2 per cell]

Calculated values
formation enthalpy at 0 K	-37.8	kJ per mole of atoms
crystal system	monoclinic



Record 11
The following is a PBE-GGA calculation of an optimized crystal structure of Ho3Hg2Ir, from the Alexandria database.

a = 5.039 Å, b = 15.072 Å, c = 7.426 Å
α = 90.00°, β = 90.00°, γ = 90.00°
Space group Cmmm (No. 65)
One atom of each set of equivalent atoms:
1 Ho 0.000 0.000 0.234 [4 per cell]
2 Ho 0.000 0.326 0.224 [8 per cell]
3 Hg 0.000 0.166 0.500 [4 per cell]
4 Hg 0.000 0.500 0.000 [2 per cell]
5 Hg 0.000 0.500 0.500 [2 per cell]
6 Ir 0.000 0.160 0.000 [4 per cell]

Calculated values
formation enthalpy at 0 K	-60.9	kJ per mole of atoms
crystal system	orthorhombic
energy relative to the lowest polymorph listed for this composition	0.00	kJ per mole of atoms



Record 12
The following is a PBE-GGA calculation of an optimized crystal structure of Ho2HgIr, from the Alexandria database.

a = 7.089 Å, b = 7.089 Å, c = 7.089 Å
α = 90.00°, β = 90.00°, γ = 90.00°
Space group Fm-3m (No. 225)
One atom of each set of equivalent atoms:
1 Ho 0.250 0.250 0.250 [8 per cell]
2 Hg 0.000 0.000 0.000 [4 per cell]
3 Ir 0.000 0.000 0.500 [4 per cell]

Calculated values
formation enthalpy at 0 K	-61.5	kJ per mole of atoms
crystal system	cubic
energy relative to the lowest polymorph listed for this composition	7.20	kJ per mole of atoms



Record 13
The following is a PBE-GGA calculation of an optimized crystal structure of Ho7Hg2Ir2, from the Alexandria database.

a = 8.097 Å, b = 10.775 Å, c = 7.078 Å
α = 90.00°, β = 90.00°, γ = 90.00°
Space group Cmmm (No. 65)
One atom of each set of equivalent atoms:
1 Ho 0.000 0.000 0.000 [2 per cell]
2 Ho 0.000 0.500 0.243 [4 per cell]
3 Ho 0.250 0.250 0.250 [8 per cell]
4 Hg 0.186 0.000 0.500 [4 per cell]
5 Ir 0.000 0.287 0.000 [4 per cell]

Calculated values
formation enthalpy at 0 K	-46.0	kJ per mole of atoms
crystal system	orthorhombic



Record 14
The following is a PBE-GGA calculation of an optimized crystal structure of Ho2HgIr, from the Alexandria database.

a = 3.497 Å, b = 3.497 Å, c = 7.433 Å
α = 90.00°, β = 90.00°, γ = 90.00°
Space group P4/mmm (No. 123)
One atom of each set of equivalent atoms:
1 Ho 0.000 0.000 0.219 [2 per cell]
2 Hg 0.500 0.500 0.500 [1 per cell]
3 Ir 0.500 0.500 0.000 [1 per cell]

Calculated values
formation enthalpy at 0 K	-68.7	kJ per mole of atoms
crystal system	tetragonal
energy relative to the lowest polymorph listed for this composition	0.00	kJ per mole of atoms



Record 15
The following is a PBE-GGA calculation of an optimized crystal structure of Ho4HgIr, from the Alexandria database.

a = 7.293 Å, b = 6.975 Å, c = 6.908 Å
α = 90.00°, β = 92.36°, γ = 90.00°
Space group P2_1/c (No. 14)
One atom of each set of equivalent atoms:
1 Ho 0.141 0.158 0.174 [4 per cell]
2 Ho 0.318 0.647 0.130 [4 per cell]
3 Hg 0.500 0.000 0.000 [2 per cell]
4 Ir 0.000 0.000 0.500 [2 per cell]

Calculated values
formation enthalpy at 0 K	-39.2	kJ per mole of atoms
crystal system	monoclinic
energy relative to the lowest polymorph listed for this composition	17.14	kJ per mole of atoms



Record 16
The following is a PBE-GGA calculation of an optimized crystal structure of Ho3HgIr, from the Alexandria database.

a = 5.584 Å, b = 6.029 Å, c = 8.700 Å
α = 101.41°, β = 100.08°, γ = 113.83°
Space group P-1 (No. 2)
One atom of each set of equivalent atoms:
1 Ho 0.058 0.190 0.281 [2 per cell]
2 Ho 0.292 0.435 0.726 [2 per cell]
3 Ho 0.300 0.800 0.104 [2 per cell]
4 Hg 0.313 0.753 0.486 [2 per cell]
5 Ir 0.248 0.246 0.998 [2 per cell]

Calculated values
formation enthalpy at 0 K	-58.2	kJ per mole of atoms
crystal system	triclinic



Record 17
The following is a PBE-GGA calculation of an optimized crystal structure of Ho4Hg2Ir, from the Alexandria database.

a = 7.901 Å, b = 12.534 Å, c = 4.040 Å
α = 90.00°, β = 90.00°, γ = 90.00°
Space group Pbam (No. 55)
One atom of each set of equivalent atoms:
1 Ho 0.132 0.197 0.000 [4 per cell]
2 Ho 0.222 0.947 0.500 [4 per cell]
3 Hg 0.077 0.669 0.500 [4 per cell]
4 Ir 0.000 0.000 0.000 [2 per cell]

Calculated values
formation enthalpy at 0 K	-47.7	kJ per mole of atoms
crystal system	orthorhombic



Record 18
The following is a PBE-GGA calculation of an optimized crystal structure of Ho4HgIr3, from the Alexandria database.

a = 4.9111 Å, b = 4.9111 Å, c = 24.2313 Å
α = 90.00°, β = 90.00°, γ = 120.00°
Space group R-3m (No. 166, hexagonal axes)
One atom of each set of equivalent atoms:
1 Ho 0.0000 0.0000 0.1194 [6 per cell]
2 Ho 0.0000 0.0000 0.3710 [6 per cell]
3 Hg 0.0000 0.0000 0.5000 [3 per cell]
4 Ir 0.0000 0.0000 0.0000 [3 per cell]
5 Ir 0.0000 0.0000 0.2500 [6 per cell]

Calculated values
formation enthalpy at 0 K	-73.1	kJ per mole of atoms
crystal system	trigonal



Record 19
The following is a PBE-GGA calculation of an optimized crystal structure of Ho11Hg9Ir4, from the Alexandria database.

a = 14.387 Å, b = 21.477 Å, c = 3.678 Å
α = 90.00°, β = 90.00°, γ = 90.00°
Space group Cmmm (No. 65)
One atom of each set of equivalent atoms:
1 Ho 0.000 0.000 0.000 [2 per cell]
2 Ho 0.000 0.167 0.000 [4 per cell]
3 Ho 0.000 0.367 0.000 [4 per cell]
4 Ho 0.204 0.500 0.000 [4 per cell]
5 Ho 0.249 0.334 0.000 [8 per cell]
6 Hg 0.000 0.500 0.500 [2 per cell]
7 Hg 0.111 0.257 0.500 [8 per cell]
8 Hg 0.134 0.076 0.500 [8 per cell]
9 Ir 0.145 0.403 0.500 [8 per cell]

Calculated values
formation enthalpy at 0 K	-59.6	kJ per mole of atoms
crystal system	orthorhombic



Record 20
The following is a PBE-GGA calculation of an optimized crystal structure of Ho2HgIr, from the Alexandria database.

a = 4.0105 Å, b = 4.0105 Å, c = 22.5534 Å
α = 90.00°, β = 90.00°, γ = 120.00°
Space group R-3m (No. 166, hexagonal axes)
One atom of each set of equivalent atoms:
1 Ho 0.0000 0.0000 0.2333 [6 per cell]
2 Hg 0.0000 0.0000 0.0000 [3 per cell]
3 Ir 0.0000 0.0000 0.5000 [3 per cell]

Calculated values
formation enthalpy at 0 K	-59.7	kJ per mole of atoms
crystal system	trigonal
energy relative to the lowest polymorph listed for this composition	9.01	kJ per mole of atoms